Ti2CdGe2 | PBE-GGA | relaxed Values from VASP.

Cell and atoms, written as Quantum ESPRESSO input:
```
&SYSTEM
  ibrav = 0, nat = 10, ntyp = 3
/
ATOMIC_SPECIES
Ge 72.64 Ge.upf
Ti 47.87 Ti.upf
Cd 112.41 Cd.upf
CELL_PARAMETERS angstrom
7.0849 0.0000 0.0000
0.0000 7.0849 0.0000
0.0000 0.0000 3.4560
ATOMIC_POSITIONS angstrom
Ge 2.5767 6.1192 0.0000
Ge 6.1192 4.5081 0.0000
Ge 4.5081 0.9657 0.0000
Ge 0.9657 2.5767 0.0000
Ti 1.1253 4.6678 1.7280
Ti 4.6678 5.9595 1.7280
Ti 5.9595 2.4171 1.7280
Ti 2.4171 1.1253 1.7280
Cd 0.0000 0.0000 0.0000
Cd 3.5424 3.5424 0.0000
```

Computed properties:
Energy = -5.476 eV/atom
Crystal system = tetragonal
DOS(E_F) = 2.04 states/eV/f.u.
Energy of formation from the pure elements = -0.2884 eV per atom
E above lowest polymorph = 0.0 meV/atom